VASP calculation (PBE with a Hubbard U) on a relaxed structure of KCo2O4.

a = 2.9178 Å, b = 2.9178 Å, c = 10.9910 Å
α = 90.00°, β = 90.00°, γ = 120.00°
Space group P-6m2 (No. 187)
Inequivalent atoms, fractional coordinates:
K 0.0000 0.0000 0.0000 [1 per cell]
Co 0.6667 0.3333 0.2725 [2 per cell]
O 0.0000 0.0000 0.3499 [2 per cell]
O 0.3333 0.6667 0.1798 [2 per cell]

Calculated values
Its density is 4528 kg/m³. The density of states at the Fermi level comes out at 1.51 states/eV/f.u. The calculation puts the energy above the most stable polymorph in this dataset at 26.2 kJ per mole of atoms. The calculation puts the uncorrected energy at -5.3088 eV per atom.